# URuPt2, relaxed, DFT GGA-PBE
# Fermi-level density of states	4.0	states/eV/f.u.
# symmetry	Fm-3m
# DFT formation energy	-0.237	eV/atom
data_URuPt2
_symmetry_space_group_name_H-M 'P 1'
_symmetry_Int_Tables_number 1
_cell_length_a 4.646
_cell_length_b 4.646
_cell_length_c 4.646
_cell_angle_alpha 60.00
_cell_angle_beta 60.00
_cell_angle_gamma 60.00
loop_
_symmetry_equiv_pos_as_xyz
'x,y,z'
loop_
_atom_site_label
_atom_site_type_symbol
_atom_site_fract_x
_atom_site_fract_y
_atom_site_fract_z
U1 U 0.500 0.500 0.500
Pt1 Pt 0.750 0.750 0.750
Pt2 Pt 0.250 0.250 0.250
Ru1 Ru 0.000 0.000 0.000

=====

# URuPt2, relaxed, DFT GGA-PBE
# Fermi-level density of states	3.3	states/eV/f.u.
# symmetry	I4/mmm
# DFT formation energy	-0.570	eV/atom
data_URuPt2
_symmetry_space_group_name_H-M 'P 1'
_symmetry_Int_Tables_number 1
_cell_length_a 3.919
_cell_length_b 3.920
_cell_length_c 5.246
_cell_angle_alpha 111.94
_cell_angle_beta 111.94
_cell_angle_gamma 90.00
loop_
_symmetry_equiv_pos_as_xyz
'x,y,z'
loop_
_atom_site_label
_atom_site_type_symbol
_atom_site_fract_x
_atom_site_fract_y
_atom_site_fract_z
Ru1 Ru 0.500 0.500 0.000
Pt1 Pt 0.750 0.250 0.500
U1 U 0.000 0.000 0.000
Pt2 Pt 0.250 0.750 0.500

=====

# URu2Pt, relaxed, DFT GGA-PBE
# Fermi-level density of states	2.2	states/eV/f.u.
# symmetry	P4/mmm
# DFT formation energy	-0.549	eV/atom
data_URu2Pt
_symmetry_space_group_name_H-M 'P 1'
_symmetry_Int_Tables_number 1
_cell_length_a 3.859
_cell_length_b 4.124
_cell_length_c 4.124
_cell_angle_alpha 90.00
_cell_angle_beta 90.00
_cell_angle_gamma 90.00
loop_
_symmetry_equiv_pos_as_xyz
'x,y,z'
loop_
_atom_site_label
_atom_site_type_symbol
_atom_site_fract_x
_atom_site_fract_y
_atom_site_fract_z
Pt1 Pt 0.500 0.000 0.000
Ru1 Ru 0.000 0.000 0.500
Ru2 Ru 0.000 0.500 0.000
U1 U 0.500 0.500 0.500

=====

# UZnRuPt, relaxed, DFT GGA-PBE
# Fermi-level density of states	4.8	states/eV/f.u.
# symmetry	F-43m
# DFT formation energy	-0.342	eV/atom
data_UZnRuPt
_symmetry_space_group_name_H-M 'P 1'
_symmetry_Int_Tables_number 1
_cell_length_a 4.631
_cell_length_b 4.631
_cell_length_c 4.631
_cell_angle_alpha 60.00
_cell_angle_beta 60.00
_cell_angle_gamma 60.00
loop_
_symmetry_equiv_pos_as_xyz
'x,y,z'
loop_
_atom_site_label
_atom_site_type_symbol
_atom_site_fract_x
_atom_site_fract_y
_atom_site_fract_z
Pt1 Pt 0.000 0.000 0.000
Ru1 Ru 0.500 0.500 0.500
U1 U 0.250 0.250 0.250
Zn1 Zn 0.750 0.750 0.750

=====

# VRuPt2, relaxed, DFT GGA-PBE
# Fermi-level density of states	5.5	states/eV/f.u.
# symmetry	Fm-3m
# DFT formation energy	0.044	eV/atom
data_VRuPt2
_symmetry_space_group_name_H-M 'P 1'
_symmetry_Int_Tables_number 1
_cell_length_a 4.395
_cell_length_b 4.395
_cell_length_c 4.395
_cell_angle_alpha 60.00
_cell_angle_beta 60.00
_cell_angle_gamma 60.00
loop_
_symmetry_equiv_pos_as_xyz
'x,y,z'
loop_
_atom_site_label
_atom_site_type_symbol
_atom_site_fract_x
_atom_site_fract_y
_atom_site_fract_z
Ru1 Ru 0.500 0.500 0.500
Pt1 Pt 0.750 0.750 0.750
Pt2 Pt 0.250 0.250 0.250
V1 V 0.000 0.000 0.000

=====

# VRuPt3, relaxed, DFT GGA-PBE
# Fermi-level density of states	6.6	states/eV/f.u.
# symmetry	Pm-3m
# DFT formation energy	1.116	eV/atom
data_VRuPt3
_symmetry_space_group_name_H-M 'P 1'
_symmetry_Int_Tables_number 1
_cell_length_a 4.578
_cell_length_b 4.578
_cell_length_c 4.578
_cell_angle_alpha 90.00
_cell_angle_beta 90.00
_cell_angle_gamma 90.00
loop_
_symmetry_equiv_pos_as_xyz
'x,y,z'
loop_
_atom_site_label
_atom_site_type_symbol
_atom_site_fract_x
_atom_site_fract_y
_atom_site_fract_z
V1 V 0.000 0.000 0.000
Pt1 Pt 0.500 0.000 0.000
Pt2 Pt 0.000 0.500 0.000
Pt3 Pt 0.000 0.000 0.500
Ru1 Ru 0.500 0.500 0.500